Below is a relaxed structure of LiBi2As2Pb2O10, with properties calculated at the GGA-PBE level.

Cell and atoms, written as POSCAR:
```
LiBi2As2Pb2O10
1.0
5.890 0.019 -0.046
-2.775 6.893 -0.051
-0.700 -2.751 6.971
O Pb Bi As Li
10 2 2 2 1
Direct
0.653 0.697 0.311
0.575 0.223 0.389
0.818 0.246 0.762
0.172 0.738 0.221
0.377 0.280 0.716
0.752 0.971 0.990
0.439 0.801 0.621
0.850 0.605 0.713
0.243 0.006 0.973
0.153 0.390 0.306
0.309 0.680 0.897
0.747 0.385 0.171
0.082 0.034 0.224
0.891 0.939 0.733
0.650 0.341 0.638
0.359 0.660 0.363
0.458 0.070 0.797
```

Calculated values
* formation energy without anion corrections: -21.3 eV per formula unit
* D(E_F): 2.862 states/eV/cell
* raw total energy: -5.721 eV per atom


Below is a relaxed structure of AlCdAs2, with properties calculated at the GGA-PBE level.

Cell and atoms, written as POSCAR:
```
AlCdAs2
1.0
3.395 0.000 0.000
0.000 3.395 0.000
0.000 0.000 7.151
Al Cd As
1 1 2
Direct
0.500 0.500 0.788
0.000 0.000 0.508
0.000 0.000 0.010
0.500 0.500 0.195
```

Calculated values
* D(E_F): 1.514 states/eV/cell
* formation energy: 0.233 eV per atom
* raw total energy: -3.257 eV per atom


Below is a relaxed structure of ZrPb, with properties calculated at the GGA-PBE level.

Cell and atoms, written as POSCAR:
```
ZrPb
1.0
9.078 0.000 0.000
0.000 9.078 0.000
0.000 0.000 9.078
Zr Pb
8 8
Direct
0.119 0.881 0.881
0.881 0.119 0.881
0.619 0.619 0.619
0.881 0.881 0.119
0.381 0.381 0.619
0.119 0.119 0.119
0.381 0.619 0.381
0.619 0.381 0.381
0.696 0.304 0.696
0.196 0.804 0.196
0.304 0.696 0.696
0.804 0.804 0.804
0.196 0.196 0.804
0.304 0.304 0.304
0.804 0.196 0.196
0.696 0.696 0.304
```

Calculated values
* D(E_F): 22.509 states/eV/cell
* formation energy: 0.736 eV per atom
* raw total energy: -5.392 eV per atom


Below is a relaxed structure of Ce3Sm3TmSe8, with properties calculated at the GGA-PBE level.

Cell and atoms, written as POSCAR:
```
Ce3Sm3TmSe8
1.0
8.320 0.000 0.000
-4.160 7.206 -0.025
0.000 -4.780 6.877
Se Sm Ce Tm
8 3 3 1
Direct
0.251 0.502 0.253
0.245 0.998 0.742
0.247 0.002 0.258
0.755 0.511 0.258
0.749 0.498 0.747
0.753 0.998 0.742
0.245 0.489 0.742
0.755 0.002 0.258
0.500 0.000 0.500
0.000 0.500 0.500
0.500 0.500 0.500
0.500 0.500 0.000
0.000 0.000 0.000
0.000 0.500 0.000
0.000 0.000 0.500
```

Calculated values
* formation energy without anion corrections: -27.8 eV per formula unit
* D(E_F): 20.974 states/eV/cell
* raw total energy: -6.139 eV per atom


Below is a relaxed structure of K2ZrRe, with properties calculated at the GGA-PBE level.

Cell and atoms, written as POSCAR:
```
K2ZrRe
1.0
-1.381 -1.569 -2.797
-2.090 -1.869 2.082
-7.731 7.937 -0.635
K Zr Re
2 1 1
Direct
0.500 0.500 0.332
0.000 0.000 0.947
0.500 0.500 0.661
0.000 0.000 0.560
```

Calculated values
* D(E_F): 4.240 states/eV/cell
* formation energy: 0.647 eV per atom
* raw total energy: -5.151 eV per atom


Below is a relaxed structure of Pu6GeBi5, with properties calculated at the GGA-PBE level.

Cell and atoms, written as POSCAR:
```
Pu6GeBi5
1.0
-1.491 -4.135 3.347
2.598 -5.225 -5.298
7.284 -5.408 3.044
Ge Pu Bi
1 6 5
Direct
0.000 0.000 0.000
0.500 0.209 0.000
0.821 0.065 0.320
0.179 0.386 0.680
0.821 0.614 0.320
0.500 0.791 0.000
0.179 0.935 0.680
0.289 0.816 0.369
0.651 0.654 0.691
0.349 0.346 0.309
0.711 0.184 0.631
0.000 0.500 0.000
```

Calculated values
* D(E_F): 55.319 states/eV/cell
* formation energy: -0.290 eV per atom
* raw total energy: -9.458 eV per atom


Below is a relaxed structure of La2ScAgHg6, with properties calculated at the GGA-PBE level.

Cell and atoms, written as POSCAR:
```
La2ScAgHg6
1.0
7.505 0.000 0.000
0.000 7.505 0.000
3.753 3.752 5.307
La Ag Hg Sc
2 1 6 1
Direct
0.750 0.250 0.500
0.250 0.750 0.500
0.000 0.000 0.000
0.751 0.751 0.000
0.249 0.751 0.000
0.249 0.249 0.000
0.751 0.249 0.000
0.249 0.249 0.501
0.751 0.751 0.499
0.500 0.500 0.000
```

Calculated values
* D(E_F): 11.776 states/eV/cell
* formation energy: -0.044 eV per atom
* raw total energy: -2.129 eV per atom


Below is a relaxed structure of NdReAg2O6, with properties calculated at the GGA-PBE level.

Cell and atoms, written as POSCAR:
```
NdReAg2O6
1.0
5.755 0.000 0.000
2.877 4.984 0.000
2.877 1.661 4.911
Ag O Re Nd
2 6 1 1
Direct
0.073 0.073 0.780
0.559 0.559 0.324
0.434 0.638 0.826
0.994 0.530 0.277
0.530 0.199 0.277
0.638 0.102 0.826
0.102 0.434 0.826
0.199 0.994 0.277
0.316 0.316 0.052
0.816 0.816 0.552
```

Calculated values
* formation energy without anion corrections: -15.3 eV per formula unit
* raw total energy: -6.793 eV per atom